Crystalline Mg3Ta at its relaxed geometry, computed with PBE-GGA.

**Magnetic moment**: 0.00 μB/cell
**Calculated formation energy**: 0.92 eV/f.u.

abc: 9.422 8.671 4.062
angles: 90.00 90.00 90.00
Element x y z (fractional)
Mg 0.000 0.134 0.250
Mg 0.000 0.866 0.750
Mg 0.240 0.374 0.250
Mg 0.240 0.626 0.750
Mg 0.260 0.126 0.750
Mg 0.260 0.874 0.250
Mg 0.500 0.366 0.750
Mg 0.500 0.634 0.250
Mg 0.740 0.126 0.750
Mg 0.740 0.874 0.250
Mg 0.760 0.374 0.250
Mg 0.760 0.626 0.750
Ta 0.000 0.393 0.750
Ta 0.000 0.607 0.250
Ta 0.500 0.107 0.250
Ta 0.500 0.893 0.750

Crystalline AlSnRuSe2 at its relaxed geometry, computed with PBE-GGA.

**Magnetic moment**: 0.00 μB/cell
**E**: -4.567 eV/atom

abc: 5.005 5.005 4.647
angles: 90.00 90.00 90.00
Element x y z (fractional)
Al 0.000 0.000 0.000
Sn 0.500 0.500 0.000
Ru 0.000 0.000 0.500
Se 0.000 0.500 0.500
Se 0.500 0.000 0.500

Crystalline Tm6Mg2Os at its relaxed geometry, computed with PBE-GGA.

**Magnetic moment**: 0.00 μB/cell
**Calculated formation energy**: -0.82 eV/f.u.

abc: 3.770 8.638 8.638
angles: 119.85 90.00 90.00
Element x y z (fractional)
Tm 0.000 0.000 0.000
Tm 0.000 0.516 0.757
Tm 0.000 0.757 0.516
Tm 0.500 0.135 0.757
Tm 0.500 0.378 0.378
Tm 0.500 0.757 0.135
Mg 0.000 0.090 0.424
Mg 0.000 0.424 0.090
Os 0.500 0.759 0.759

Crystalline MgFeCl2 at its relaxed geometry, computed with PBE-GGA.

**Magnetic moment**: 2.88 μB/cell
**E**: -3.493 eV/atom

abc: 4.703 4.703 3.229
angles: 90.00 90.00 90.00
Element x y z (fractional)
Mg 0.000 0.000 0.000
Fe 0.500 0.500 0.000
Cl 0.000 0.500 0.500
Cl 0.500 0.000 0.500

Crystalline Cs2Np2CuSe6 at its relaxed geometry, computed with PBE-GGA.

**Magnetic moment**: 4.97 μB/cell
**E**: -5.733 eV/atom

abc: 7.342 7.342 8.884
angles: 96.96 96.96 124.71
Element x y z (fractional)
Cs 0.152 0.848 0.000
Cs 0.848 0.152 0.000
Np 0.337 0.663 0.500
Np 0.663 0.337 0.500
Cu 0.000 0.000 0.500
Se 0.052 0.419 0.685
Se 0.247 0.247 0.345
Se 0.419 0.052 0.685
Se 0.581 0.948 0.315
Se 0.753 0.753 0.655
Se 0.948 0.581 0.315

Crystalline CrRe2Ru at its relaxed geometry, computed with PBE-GGA.

**Magnetic moment**: 0.00 μB/cell
**Calculated formation energy**: 0.59 eV/f.u.

abc: 2.722 2.722 26.428
angles: 90.00 90.00 120.00
Element x y z (fractional)
Cr 0.000 0.000 0.000
Cr 0.333 0.667 0.667
Cr 0.667 0.333 0.333
Re 0.000 0.000 0.501
Re 0.000 0.000 0.749
Re 0.333 0.667 0.168
Re 0.333 0.667 0.416
Re 0.667 0.333 0.083
Re 0.667 0.333 0.834
Ru 0.000 0.000 0.256
Ru 0.333 0.667 0.923
Ru 0.667 0.333 0.589

Repeat the third record exactly.
Crystalline Tm6Mg2Os at its relaxed geometry, computed with PBE-GGA.

**Magnetic moment**: 0.00 μB/cell
**Calculated formation energy**: -0.82 eV/f.u.

abc: 3.770 8.638 8.638
angles: 119.85 90.00 90.00
Element x y z (fractional)
Tm 0.000 0.000 0.000
Tm 0.000 0.516 0.757
Tm 0.000 0.757 0.516
Tm 0.500 0.135 0.757
Tm 0.500 0.378 0.378
Tm 0.500 0.757 0.135
Mg 0.000 0.090 0.424
Mg 0.000 0.424 0.090
Os 0.500 0.759 0.759